Entry one
Density functional theory data (GGA-PBE) for PaBMo after structural relaxation.

abc: 6.805 4.112 7.324
angles: 90.00 99.86 90.00
Space group C2/m (No. 12)
One atom of each set of equivalent atoms:
Pa 0.225 0.000 0.359 [4 per cell]
B 0.013 0.500 0.125 [4 per cell]
Mo 0.155 0.000 0.935 [4 per cell]

=====

Entry two
Density functional theory data (GGA-PBE) for PaBMo after structural relaxation.

abc: 3.8722 3.8722 3.9057
angles: 90.00 90.00 120.00
Space group P-6m2 (No. 187)
One atom of each set of equivalent atoms:
Pa 0.0000 0.0000 0.0000 [1 per cell]
B 0.3333 0.6667 0.5000 [1 per cell]
Mo 0.6667 0.3333 0.5000 [1 per cell]

=====

Name the least stable of them. entry one.

=====

Entry one
Density functional theory data (GGA-PBE) for PaBMo after structural relaxation.

abc: 3.1615 3.1615 33.8761
angles: 90.00 90.00 120.00
Space group R-3m (No. 166, hexagonal axes)
One atom of each set of equivalent atoms:
Pa 0.0000 0.0000 0.2136 [6 per cell]
B 0.0000 0.0000 0.0674 [6 per cell]
Mo 0.0000 0.0000 0.3657 [6 per cell]

=====

Entry two
Density functional theory data (GGA-PBE) for PaBMo after structural relaxation.

abc: 3.132 3.132 9.533
angles: 90.00 90.00 90.00
Space group I4mm (No. 107)
One atom of each set of equivalent atoms:
Pa 0.000 0.000 0.000 [2 per cell]
B 0.000 0.000 0.302 [2 per cell]
Mo 0.000 0.000 0.729 [2 per cell]

=====

Name the least stable of them. entry one.

=====

Entry one
Density functional theory data (GGA-PBE) for BMoPb after structural relaxation.

abc: 5.602 3.127 6.003
angles: 90.00 99.49 90.00
Space group Pm (No. 6)
One atom of each set of equivalent atoms:
B 0.000 0.000 0.000 [1 per cell]
B 0.003 0.500 0.888 [1 per cell]
Mo 0.121 0.000 0.656 [1 per cell]
Mo 0.927 0.500 0.250 [1 per cell]
Pb 0.486 0.500 0.946 [1 per cell]
Pb 0.575 0.000 0.464 [1 per cell]

=====

Entry two
Density functional theory data (GGA-PBE) for BMoPb after structural relaxation.

abc: 3.175 4.005 9.467
angles: 88.07 89.98 67.24
Space group P1 (No. 1)
One atom of each set of equivalent atoms:
B 0.000 0.000 0.000 [1 per cell]
B 0.163 0.673 0.129 [1 per cell]
Mo 0.447 0.106 0.168 [1 per cell]
Mo 0.715 0.568 0.961 [1 per cell]
Pb 0.117 0.764 0.417 [1 per cell]
Pb 0.377 0.229 0.723 [1 per cell]

=====

Entry three
Density functional theory data (GGA-PBE) for BMoPb after structural relaxation.

abc: 3.078 5.726 6.188
angles: 101.21 90.00 105.58
Space group P1 (No. 1)
One atom of each set of equivalent atoms:
B 0.000 0.000 0.000 [1 per cell]
B 0.489 0.977 0.891 [1 per cell]
Mo 0.540 0.079 0.264 [1 per cell]
Mo 0.962 0.923 0.624 [1 per cell]
Pb 0.275 0.553 0.253 [1 per cell]
Pb 0.701 0.413 0.721 [1 per cell]

=====

Name the least stable of them. entry one.

=====

Entry one
Density functional theory data (GGA-PBE) for B3MoPb after structural relaxation.

abc: 4.297 4.297 4.297
angles: 90.00 90.00 90.00
Space group Pm-3m (No. 221)
One atom of each set of equivalent atoms:
B 0.000 0.000 0.500 [3 per cell]
Mo 0.000 0.000 0.000 [1 per cell]
Pb 0.500 0.500 0.500 [1 per cell]

=====

Entry two
Density functional theory data (GGA-PBE) for B3MoPb after structural relaxation.

abc: 4.407 4.407 4.407
angles: 90.00 90.00 90.00
Space group Pm-3m (No. 221)
One atom of each set of equivalent atoms:
B 0.000 0.000 0.500 [3 per cell]
Mo 0.500 0.500 0.500 [1 per cell]
Pb 0.000 0.000 0.000 [1 per cell]

=====

Name the least stable of them. entry two.

=====

Entry one
Density functional theory data (GGA-PBE) for BMoPb3 after structural relaxation.

abc: 5.017 5.017 5.017
angles: 90.00 90.00 90.00
Space group Pm-3m (No. 221)
One atom of each set of equivalent atoms:
B 0.000 0.000 0.000 [1 per cell]
Mo 0.500 0.500 0.500 [1 per cell]
Pb 0.000 0.000 0.500 [3 per cell]

=====

Entry two
Density functional theory data (GGA-PBE) for BMoPb3 after structural relaxation.

abc: 5.394 5.394 5.394
angles: 90.00 90.00 90.00
Space group Pm-3m (No. 221)
One atom of each set of equivalent atoms:
B 0.000 0.000 0.000 [1 per cell]
Mo 0.500 0.500 0.500 [1 per cell]
Pb 0.000 0.500 0.500 [3 per cell]

=====

Name the least stable of them. entry two.

=====

Entry one
Density functional theory data (GGA-PBE) for RbB2MoPb after structural relaxation.

abc: 4.970 4.970 5.571
angles: 90.00 90.00 90.00
Space group P4/mmm (No. 123)
One atom of each set of equivalent atoms:
Rb 0.000 0.000 0.000 [1 per cell]
B 0.000 0.500 0.500 [2 per cell]
Mo 0.500 0.500 0.000 [1 per cell]
Pb 0.500 0.500 0.500 [1 per cell]

=====

Entry two
Density functional theory data (GGA-PBE) for RbB2MoPb after structural relaxation.

abc: 4.517 4.517 5.289
angles: 90.00 90.00 90.00
Space group P4/mmm (No. 123)
One atom of each set of equivalent atoms:
Rb 0.000 0.000 0.000 [1 per cell]
B 0.000 0.500 0.500 [2 per cell]
Mo 0.500 0.500 0.500 [1 per cell]
Pb 0.500 0.500 0.000 [1 per cell]

=====

Name the least stable of them. entry one.

=====

Entry one
Density functional theory data (GGA-PBE) for BMo3Pd after structural relaxation.

abc: 4.693 4.693 4.693
angles: 90.00 90.00 90.00
Space group Pm-3m (No. 221)
One atom of each set of equivalent atoms:
B 0.000 0.000 0.000 [1 per cell]
Mo 0.000 0.500 0.500 [3 per cell]
Pd 0.500 0.500 0.500 [1 per cell]

=====

Entry two
Density functional theory data (GGA-PBE) for BMo3Pd after structural relaxation.

abc: 4.180 4.180 4.180
angles: 90.00 90.00 90.00
Space group Pm-3m (No. 221)
One atom of each set of equivalent atoms:
B 0.000 0.000 0.000 [1 per cell]
Mo 0.000 0.000 0.500 [3 per cell]
Pd 0.500 0.500 0.500 [1 per cell]

=====

Name the least stable of them. entry one.

=====

Entry one
Density functional theory data (GGA-PBE) for B2MoPt after structural relaxation.

abc: 5.579 5.579 5.579
angles: 90.00 90.00 90.00
Space group Fm-3m (No. 225)
One atom of each set of equivalent atoms:
B 0.250 0.250 0.250 [8 per cell]
Mo 0.000 0.000 0.000 [4 per cell]
Pt 0.000 0.000 0.500 [4 per cell]

=====

Entry two
Density functional theory data (GGA-PBE) for B2MoPt after structural relaxation.

abc: 4.749 4.749 9.973
angles: 90.00 90.00 90.00
Space group I-42d (No. 122)
One atom of each set of equivalent atoms:
B 0.233 0.250 0.125 [8 per cell]
Mo 0.000 0.000 0.500 [4 per cell]
Pt 0.000 0.000 0.000 [4 per cell]

=====

Name the least stable of them. entry two.